(1)
{"formula": "ScOs2Se", "functional": "GGA-PBE", "state": "relaxed", "raw_formation_energy_ev_per_atom": -0.007, "spacegroup": "C2/m (12)", "cell": [[5.505, -0.001, 0.013], [4.703, 2.860, 0.013], [1.813, 0.508, 4.074]], "species": ["Os", "Os", "Sc", "Se"], "fractional_positions": [[0.526, 0.526, 0.474], [0.974, 0.974, 0.026], [0.750, 0.750, 0.750], [0.250, 0.250, 0.250]]}

(2)
{"formula": "ScOs2Se", "functional": "GGA-PBE", "state": "relaxed", "raw_formation_energy_ev_per_atom": -0.019, "spacegroup": "P4mm (99)", "cell": [[3.001, 0.063, 0.000], [-0.063, 3.001, 0.000], [0.000, 0.000, 7.269]], "species": ["Os", "Os", "Sc", "Se"], "fractional_positions": [[0.000, 0.000, 0.011], [0.500, 0.500, 0.227], [0.000, 0.000, 0.502], [0.500, 0.500, 0.760]]}

(3)
{"formula": "ScOsSe2", "functional": "GGA-PBE", "state": "relaxed", "raw_formation_energy_ev_per_atom": -0.423, "spacegroup": "P4mm (99)", "cell": [[-0.454, -1.768, -2.656], [3.162, 0.110, -0.614], [1.071, -6.747, 4.308]], "species": ["Sc", "Se", "Se", "Os"], "fractional_positions": [[0.500, 0.500, 0.753], [0.500, 0.500, 0.341], [0.000, 0.000, 0.923], [0.000, 0.000, 0.482]]}

(4)
{"formula": "ScOs2Se", "functional": "GGA-PBE", "state": "relaxed", "raw_formation_energy_ev_per_atom": 0.163, "spacegroup": "P4/mmm (123)", "cell": [[4.409, 0.048, 0.000], [-0.047, 4.409, 0.000], [0.000, 0.000, 3.233]], "species": ["Se", "Os", "Os", "Sc"], "fractional_positions": [[0.000, 0.500, 0.500], [0.000, 0.000, 0.000], [0.500, 0.500, 0.000], [0.500, 0.000, 0.500]]}

(5)
{"formula": "ScOs2Se", "functional": "GGA-PBE", "state": "relaxed", "raw_formation_energy_ev_per_atom": 0.074, "spacegroup": "P2/m (10)", "cell": [[-0.024, 0.049, 3.049], [4.655, -0.642, 0.048], [4.263, 3.915, -0.029]], "species": ["Sc", "Os", "Os", "Se"], "fractional_positions": [[0.500, 0.500, 0.500], [0.500, 0.500, 0.000], [0.000, 0.000, 0.000], [0.000, 0.000, 0.500]]}

(6)
{"formula": "ScOs3Se", "functional": "GGA-PBE", "state": "relaxed", "raw_formation_energy_ev_per_atom": 2.495, "spacegroup": "Pm-3m (221)", "cell": [[-0.048, 0.539, -4.642], [2.544, -3.890, -0.478], [-3.919, -2.532, -0.253]], "species": ["Se", "Os", "Os", "Os", "Sc"], "fractional_positions": [[0.500, 0.500, 0.500], [0.000, 0.000, 0.500], [0.000, 0.500, 0.000], [0.500, 0.000, 0.000], [0.000, 0.000, 0.000]]}

(7)
{"formula": "ScOsSe2", "functional": "GGA-PBE", "state": "relaxed", "raw_formation_energy_ev_per_atom": -0.345, "spacegroup": "Cm (8)", "cell": [[4.874, -0.038, 0.047], [3.745, 3.119, 0.047], [0.906, 0.324, 4.590]], "species": ["Se", "Se", "Sc", "Os"], "fractional_positions": [[0.754, 0.754, 0.685], [0.996, 0.996, 0.098], [0.262, 0.262, 0.185], [0.488, 0.488, 0.532]]}

(8)
{"formula": "ScOs2Se", "functional": "GGA-PBE", "state": "relaxed", "raw_formation_energy_ev_per_atom": 0.478, "spacegroup": "Cmmm (65)", "cell": [[-0.403, -0.200, -2.816], [1.644, -2.024, 1.154], [-7.233, -5.081, 1.396]], "species": ["Sc", "Se", "Os", "Os"], "fractional_positions": [[0.500, 0.500, 0.250], [0.500, 0.500, 0.750], [0.000, 0.000, 0.496], [0.000, 0.000, 0.004]]}

(9)
{"formula": "Sc3OsSe", "functional": "GGA-PBE", "state": "relaxed", "raw_formation_energy_ev_per_atom": -0.181, "spacegroup": "Pm-3m (221)", "cell": [[5.032, 0.000, 0.000], [0.000, 5.032, 0.000], [0.000, 0.000, 5.032]], "species": ["Sc", "Sc", "Sc", "Se", "Os"], "fractional_positions": [[0.000, 0.500, 0.000], [0.500, 0.000, 0.000], [0.000, 0.000, 0.500], [0.500, 0.500, 0.500], [0.000, 0.000, 0.000]]}

(10)
{"formula": "ScOsSe2", "functional": "GGA-PBE", "state": "relaxed", "raw_formation_energy_ev_per_atom": -0.305, "spacegroup": "Imm2 (44)", "cell": [[-2.821, 4.675, -1.623], [-4.502, -0.254, -3.480], [2.378, -1.600, 4.923]], "species": ["Se", "Se", "Sc", "Os"], "fractional_positions": [[0.719, 0.219, 0.500], [0.006, 0.006, 0.000], [0.248, 0.748, 0.500], [0.526, 0.526, 0.000]]}

(11)
{"formula": "ScOsSe2", "functional": "GGA-PBE", "state": "relaxed", "raw_formation_energy_ev_per_atom": -0.018, "spacegroup": "C2/m (12)", "cell": [[4.930, 0.014, 0.402], [-1.781, 4.597, 0.402], [1.294, 1.894, 3.732]], "species": ["Se", "Se", "Sc", "Os"], "fractional_positions": [[0.000, 0.000, 0.000], [0.500, 0.500, 0.000], [0.000, 0.500, 0.500], [0.500, 0.000, 0.500]]}

(12)
{"formula": "ScOsSe", "functional": "GGA-PBE", "state": "relaxed", "raw_formation_energy_ev_per_atom": -0.157, "spacegroup": "I4mm (107)", "cell": [[5.798, 0.008, 0.000], [4.128, 4.071, 0.000], [-4.963, -2.039, 2.196]], "species": ["Se", "Sc", "Os"], "fractional_positions": [[0.652, 0.652, 0.000], [0.341, 0.341, 0.000], [0.007, 0.007, 0.000]]}

(13)
{"formula": "ScOs2Se", "functional": "GGA-PBE", "state": "relaxed", "raw_formation_energy_ev_per_atom": 0.025, "spacegroup": "Cm (8)", "cell": [[5.168, 0.000, -0.005], [4.282, 2.892, -0.005], [1.599, 0.489, 4.516]], "species": ["Os", "Os", "Sc", "Se"], "fractional_positions": [[0.001, 0.001, 0.949], [0.728, 0.728, 0.853], [0.495, 0.495, 0.476], [0.276, 0.276, 0.222]]}

(14)
{"formula": "ScOsSe", "functional": "GGA-PBE", "state": "relaxed", "raw_formation_energy_ev_per_atom": 0.033, "spacegroup": "P3m1 (156)", "cell": [[3.202, 0.000, 0.000], [-1.601, 2.773, 0.000], [0.000, 0.000, 6.129]], "species": ["Os", "Sc", "Se"], "fractional_positions": [[0.000, 0.000, 0.003], [0.667, 0.333, 0.320], [0.333, 0.667, 0.676]]}

(15)
{"formula": "ScOs2Se", "functional": "GGA-PBE", "state": "relaxed", "raw_formation_energy_ev_per_atom": 0.093, "spacegroup": "Pmmm (47)", "cell": [[-0.955, 2.847, 0.055], [-2.508, -0.769, -3.741], [-3.622, -1.267, 2.690]], "species": ["Os", "Os", "Se", "Sc"], "fractional_positions": [[0.500, 0.500, 0.000], [0.000, 0.000, 0.000], [0.000, 0.500, 0.500], [0.500, 0.000, 0.500]]}